Version 1
# Tl2WCl, relaxed, DFT GGA-PBE
# **D(E_F)**: 0.916 states/eV/f.u.
# **Density**: 8.0 Mg/m³
# **Size of the total moment**: 5.7 μB/cell
data_Tl2WCl
_chemical_formula_sum 'Tl4 W2 Cl2'
_cell_length_a 5.3991
_cell_length_b 5.3991
_cell_length_c 9.6764
_cell_angle_alpha 73.80
_cell_angle_beta 73.80
_cell_angle_gamma 90.00
_symmetry_space_group_name_H-M 'P 1'
_symmetry_Int_Tables_number 1
_symmetry_space_group_name_Hall 'P 1'
loop_
_atom_site_label
_atom_site_type_symbol
_atom_site_fract_x
_atom_site_fract_y
_atom_site_fract_z
W1 W 0.0000 0.0000 0.0000
W2 W 0.7500 0.2500 0.5000
Tl1 Tl 0.6823 0.1250 0.2500
Tl2 Tl 0.8750 0.9323 0.7500
Tl3 Tl 0.3750 0.3177 0.7500
Tl4 Tl 0.0677 0.6250 0.2500
Cl1 Cl 0.2500 0.7500 0.5000
Cl2 Cl 0.5000 0.5000 0.0000

=====

Version 2
# Tl2WCl, relaxed, DFT GGA-PBE
# **D(E_F)**: 2.663 states/eV/f.u.
# **Density**: 12.1 Mg/m³
# **Size of the total moment**: 0.0 μB/cell
data_Tl2WCl
_chemical_formula_sum 'Tl2 W1 Cl1'
_cell_length_a 9.8248
_cell_length_b 9.8248
_cell_length_c 9.8248
_cell_angle_alpha 18.84
_cell_angle_beta 18.84
_cell_angle_gamma 18.84
_symmetry_space_group_name_H-M 'P 1'
_symmetry_Int_Tables_number 1
_symmetry_space_group_name_Hall 'P 1'
loop_
_atom_site_label
_atom_site_type_symbol
_atom_site_fract_x
_atom_site_fract_y
_atom_site_fract_z
W1 W 0.2500 0.2500 0.2500
Tl1 Tl 0.5001 0.5001 0.5001
Tl2 Tl 0.9999 0.9999 0.9999
Cl1 Cl 0.7500 0.7500 0.7500

=====

Of them, version 2 has the highest stability.

=====

Version 1
# Tl2WCl, relaxed, DFT GGA-PBE
# **D(E_F)**: 1.014 states/eV/f.u.
# **Density**: 11.0 Mg/m³
# **Size of the total moment**: 3.1 μB/cell
data_Tl2WCl
_chemical_formula_sum 'Tl2 W1 Cl1'
_cell_length_a 5.1168
_cell_length_b 5.1168
_cell_length_c 5.1168
_cell_angle_alpha 60.00
_cell_angle_beta 60.00
_cell_angle_gamma 60.00
_symmetry_space_group_name_H-M 'P 1'
_symmetry_Int_Tables_number 1
_symmetry_space_group_name_Hall 'P 1'
loop_
_atom_site_label
_atom_site_type_symbol
_atom_site_fract_x
_atom_site_fract_y
_atom_site_fract_z
Tl1 Tl 0.2500 0.2500 0.2500
Tl2 Tl 0.0000 0.0000 0.0000
W1 W 0.7500 0.7500 0.7500
Cl1 Cl 0.5000 0.5000 0.5000

=====

Version 2
# Tl2WCl, relaxed, DFT GGA-PBE
# **D(E_F)**: 3.367 states/eV/f.u.
# **Density**: 11.7 Mg/m³
# **Size of the total moment**: 0.0 μB/cell
data_Tl2WCl
_chemical_formula_sum 'Tl2 W1 Cl1'
_cell_length_a 5.3652
_cell_length_b 3.1003
_cell_length_c 6.0780
_cell_angle_alpha 61.68
_cell_angle_beta 90.00
_cell_angle_gamma 90.00
_symmetry_space_group_name_H-M 'P 1'
_symmetry_Int_Tables_number 1
_symmetry_space_group_name_Hall 'P 1'
loop_
_atom_site_label
_atom_site_type_symbol
_atom_site_fract_x
_atom_site_fract_y
_atom_site_fract_z
W1 W 0.5000 0.2500 0.2500
Tl1 Tl 0.0000 0.2959 0.4959
Tl2 Tl 0.0000 0.2041 0.0041
Cl1 Cl 0.5000 0.7500 0.7500

=====

Version 3
# Tl2WCl, relaxed, DFT GGA-PBE
# **D(E_F)**: 3.183 states/eV/f.u.
# **Density**: 11.7 Mg/m³
# **Size of the total moment**: 0.6 μB/cell
data_Tl2WCl
_chemical_formula_sum 'Tl2 W1 Cl1'
_cell_length_a 3.2692
_cell_length_b 3.2692
_cell_length_c 8.3568
_cell_angle_alpha 90.00
_cell_angle_beta 90.00
_cell_angle_gamma 90.00
_symmetry_space_group_name_H-M 'P 1'
_symmetry_Int_Tables_number 1
_symmetry_space_group_name_Hall 'P 1'
loop_
_atom_site_label
_atom_site_type_symbol
_atom_site_fract_x
_atom_site_fract_y
_atom_site_fract_z
W1 W 0.5000 0.5000 0.2500
Tl1 Tl 0.0000 0.0000 0.4769
Tl2 Tl 0.0000 0.0000 0.0231
Cl1 Cl 0.5000 0.5000 0.7500

=====

Of them, version 3 has the highest stability.

=====

Version 1
# Tl2WCl, relaxed, DFT GGA-PBE
# **D(E_F)**: 3.324 states/eV/f.u.
# **Density**: 11.5 Mg/m³
# **Size of the total moment**: 2.0 μB/cell
data_Tl2WCl
_chemical_formula_sum 'Tl2 W1 Cl1'
_cell_length_a 5.5823
_cell_length_b 5.5823
_cell_length_c 5.5823
_cell_angle_alpha 133.19
_cell_angle_beta 133.19
_cell_angle_gamma 68.35
_symmetry_space_group_name_H-M 'P 1'
_symmetry_Int_Tables_number 1
_symmetry_space_group_name_Hall 'P 1'
loop_
_atom_site_label
_atom_site_type_symbol
_atom_site_fract_x
_atom_site_fract_y
_atom_site_fract_z
Cl1 Cl 0.7500 0.2500 0.5000
W1 W 0.2500 0.7500 0.5000
Tl1 Tl 0.5000 0.5000 0.0000
Tl2 Tl 0.0000 0.0000 0.0000

=====

Version 2
# Tl2WCl, relaxed, DFT GGA-PBE
# **D(E_F)**: 1.882 states/eV/f.u.
# **Density**: 11.5 Mg/m³
# **Size of the total moment**: 0.0 μB/cell
data_Tl2WCl
_chemical_formula_sum 'Tl2 W1 Cl1'
_cell_length_a 5.7481
_cell_length_b 5.7481
_cell_length_c 5.6076
_cell_angle_alpha 71.23
_cell_angle_beta 71.23
_cell_angle_gamma 31.18
_symmetry_space_group_name_H-M 'P 1'
_symmetry_Int_Tables_number 1
_symmetry_space_group_name_Hall 'P 1'
loop_
_atom_site_label
_atom_site_type_symbol
_atom_site_fract_x
_atom_site_fract_y
_atom_site_fract_z
Cl1 Cl 0.1935 0.1935 0.2601
W1 W 0.5363 0.5363 0.5406
Tl1 Tl 0.7892 0.7892 0.6650
Tl2 Tl 0.9810 0.9810 0.0344

=====

Of them, version 2 has the highest stability.

=====

Version 1
# Tl2WCl, relaxed, DFT GGA-PBE
# **D(E_F)**: 2.547 states/eV/f.u.
# **Density**: 9.3 Mg/m³
# **Size of the total moment**: 0.0 μB/cell
data_Tl2WCl
_chemical_formula_sum 'Tl2 W1 Cl1'
_cell_length_a 8.1594
_cell_length_b 8.1594
_cell_length_c 8.1594
_cell_angle_alpha 158.49
_cell_angle_beta 145.66
_cell_angle_gamma 40.88
_symmetry_space_group_name_H-M 'P 1'
_symmetry_Int_Tables_number 1
_symmetry_space_group_name_Hall 'P 1'
loop_
_atom_site_label
_atom_site_type_symbol
_atom_site_fract_x
_atom_site_fract_y
_atom_site_fract_z
Cl1 Cl 0.3506 0.8506 0.5000
W1 W 0.4737 0.4737 0.0000
Tl1 Tl 0.6675 0.1675 0.5000
Tl2 Tl 0.0082 0.0082 0.0000

=====

Version 2
# Tl2WCl, relaxed, DFT GGA-PBE
# **D(E_F)**: 2.848 states/eV/f.u.
# **Density**: 10.6 Mg/m³
# **Size of the total moment**: 2.0 μB/cell
data_Tl2WCl
_chemical_formula_sum 'Tl2 W1 Cl1'
_cell_length_a 3.1092
_cell_length_b 6.1424
_cell_length_c 5.1360
_cell_angle_alpha 90.00
_cell_angle_beta 90.00
_cell_angle_gamma 90.00
_symmetry_space_group_name_H-M 'P 1'
_symmetry_Int_Tables_number 1
_symmetry_space_group_name_Hall 'P 1'
loop_
_atom_site_label
_atom_site_type_symbol
_atom_site_fract_x
_atom_site_fract_y
_atom_site_fract_z
W1 W 0.5000 0.0000 0.5000
Cl1 Cl 0.0000 0.5000 0.5000
Tl1 Tl 0.5000 0.5000 0.0000
Tl2 Tl 0.0000 0.0000 0.0000

=====

Version 3
# Tl2WCl, relaxed, DFT GGA-PBE
# **D(E_F)**: 2.803 states/eV/f.u.
# **Density**: 10.9 Mg/m³
# **Size of the total moment**: 0.0 μB/cell
data_Tl2WCl
_chemical_formula_sum 'Tl2 W1 Cl1'
_cell_length_a 10.8577
_cell_length_b 10.8577
_cell_length_c 10.8577
_cell_angle_alpha 17.01
_cell_angle_beta 17.01
_cell_angle_gamma 17.01
_symmetry_space_group_name_H-M 'P 1'
_symmetry_Int_Tables_number 1
_symmetry_space_group_name_Hall 'P 1'
loop_
_atom_site_label
_atom_site_type_symbol
_atom_site_fract_x
_atom_site_fract_y
_atom_site_fract_z
Tl1 Tl 0.2369 0.2369 0.2369
Tl2 Tl 0.9938 0.9938 0.9938
W1 W 0.4930 0.4930 0.4930
Cl1 Cl 0.7763 0.7763 0.7763

=====

Of them, version 3 has the highest stability.

=====

Version 1
# Tl2W2Cl, relaxed, DFT GGA-PBE
# **D(E_F)**: 4.514 states/eV/f.u.
# **Density**: 12.3 Mg/m³
# **Size of the total moment**: 0.0 μB/cell
data_Tl2W2Cl
_chemical_formula_sum 'Tl4 W4 Cl2'
_cell_length_a 8.3714
_cell_length_b 8.3714
_cell_length_c 3.1226
_cell_angle_alpha 90.00
_cell_angle_beta 90.00
_cell_angle_gamma 90.00
_symmetry_space_group_name_H-M 'P 1'
_symmetry_Int_Tables_number 1
_symmetry_space_group_name_Hall 'P 1'
loop_
_atom_site_label
_atom_site_type_symbol
_atom_site_fract_x
_atom_site_fract_y
_atom_site_fract_z
Cl1 Cl 0.5000 0.5000 0.0000
Cl2 Cl 0.0000 0.0000 0.0000
W1 W 0.1013 0.3987 0.0000
W2 W 0.6013 0.1013 0.0000
W3 W 0.8987 0.6013 0.0000
W4 W 0.3987 0.8987 0.0000
Tl1 Tl 0.3086 0.1914 0.5000
Tl2 Tl 0.1914 0.6914 0.5000
Tl3 Tl 0.6914 0.8086 0.5000
Tl4 Tl 0.8086 0.3086 0.5000

=====

Version 2
# Tl2W2Cl, relaxed, DFT GGA-PBE
# **D(E_F)**: 3.989 states/eV/f.u.
# **Density**: 11.1 Mg/m³
# **Size of the total moment**: 0.0 μB/cell
data_Tl2W2Cl
_chemical_formula_sum 'Tl2 W2 Cl1'
_cell_length_a 4.4855
_cell_length_b 4.4855
_cell_length_c 6.8331
_cell_angle_alpha 70.84
_cell_angle_beta 70.84
_cell_angle_gamma 90.00
_symmetry_space_group_name_H-M 'P 1'
_symmetry_Int_Tables_number 1
_symmetry_space_group_name_Hall 'P 1'
loop_
_atom_site_label
_atom_site_type_symbol
_atom_site_fract_x
_atom_site_fract_y
_atom_site_fract_z
Cl1 Cl 0.0000 0.0000 0.0000
W1 W 0.4062 0.4062 0.1875
W2 W 0.5938 0.5938 0.8125
Tl1 Tl 0.2500 0.7500 0.5000
Tl2 Tl 0.7500 0.2500 0.5000

=====

Of them, version 1 has the highest stability.

=====

Version 1
# YTlCl, relaxed, DFT GGA-PBE
# **D(E_F)**: 2.807 states/eV/f.u.
# **Density**: 6.5 Mg/m³
# **Size of the total moment**: 0.0 μB/cell
data_YTlCl
_chemical_formula_sum 'Y1 Tl1 Cl1'
_cell_length_a 4.9050
_cell_length_b 4.9050
_cell_length_c 4.9050
_cell_angle_alpha 60.00
_cell_angle_beta 60.00
_cell_angle_gamma 60.00
_symmetry_space_group_name_H-M 'P 1'
_symmetry_Int_Tables_number 1
_symmetry_space_group_name_Hall 'P 1'
loop_
_atom_site_label
_atom_site_type_symbol
_atom_site_fract_x
_atom_site_fract_y
_atom_site_fract_z
Y1 Y 0.5000 0.5000 0.5000
Tl1 Tl 0.0000 0.0000 0.0000
Cl1 Cl 0.7500 0.7500 0.7500

=====

Version 2
# YTlCl, relaxed, DFT GGA-PBE
# **D(E_F)**: 3.145 states/eV/f.u.
# **Density**: 6.8 Mg/m³
# **Size of the total moment**: 0.0 μB/cell
data_YTlCl
_chemical_formula_sum 'Y1 Tl1 Cl1'
_cell_length_a 6.5965
_cell_length_b 6.5965
_cell_length_c 6.5965
_cell_angle_alpha 148.11
_cell_angle_beta 148.11
_cell_angle_gamma 45.73
_symmetry_space_group_name_H-M 'P 1'
_symmetry_Int_Tables_number 1
_symmetry_space_group_name_Hall 'P 1'
loop_
_atom_site_label
_atom_site_type_symbol
_atom_site_fract_x
_atom_site_fract_y
_atom_site_fract_z
Cl1 Cl 0.0425 0.0425 0.0000
Tl1 Tl 0.3270 0.3270 0.0000
Y1 Y 0.6305 0.6305 0.0000

=====

Version 3
# YTlCl, relaxed, DFT GGA-PBE
# **D(E_F)**: 2.062 states/eV/f.u.
# **Density**: 5.9 Mg/m³
# **Size of the total moment**: 0.0 μB/cell
data_YTlCl
_chemical_formula_sum 'Y1 Tl1 Cl1'
_cell_length_a 3.6505
_cell_length_b 3.6505
_cell_length_c 7.9982
_cell_angle_alpha 90.00
_cell_angle_beta 90.00
_cell_angle_gamma 120.00
_symmetry_space_group_name_H-M 'P 1'
_symmetry_Int_Tables_number 1
_symmetry_space_group_name_Hall 'P 1'
loop_
_atom_site_label
_atom_site_type_symbol
_atom_site_fract_x
_atom_site_fract_y
_atom_site_fract_z
Tl1 Tl 0.6667 0.3333 0.3824
Y1 Y 0.3333 0.6667 0.6964
Cl1 Cl 0.0000 0.0000 0.9213

=====

Of them, version 3 has the highest stability.